Material: Bi12Ir4Pb
Method: DFT, PBE
State: optimized geometry

Results
**DFT formation energy**: -0.19 eV/f.u.
**Space group**: Im-3

```
17
Lattice="1.8635 6.1259 -5.6638 3.0721 -7.4785 -2.7770 -8.4822 -0.5621 0.9021" Properties=species:S:1:pos:R:3 pbc="T T T"
Bi -0.7013 -0.1098 -6.1642
Bi 1.1015 2.5696 -5.5394
Bi -2.8454 -1.8049 -1.3745
Bi -2.1169 -3.5567 -4.6227
Bi 0.0887 -5.4108 -3.0360
Bi -5.9853 0.2524 -1.6168
Bi 0.7939 -1.7165 -3.1091
Bi -1.4298 1.6420 -2.9160
Bi -3.6353 3.4960 -4.5027
Bi -4.3406 -0.1983 -4.4296
Bi -4.6482 -4.4843 -1.9993
Bi 2.4386 -2.1672 -5.9219
Pb 0.0000 0.0000 0.0000
Ir -1.7733 -0.9574 -3.7693
Ir -4.2411 -0.2811 0.4511
Ir 0.9317 3.0629 -2.8319
Ir 1.5360 -3.7393 -1.3885
```